Material: Sc2Au2I
Method: DFT, PBE
State: optimized geometry

Values from the calculation:
ΔE_f (raw): -0.59 eV/atom

```
data_Sc2Au2I
_cell_length_a 7.8529
_cell_length_b 7.8529
_cell_length_c 3.6969
_cell_angle_alpha 90.00
_cell_angle_beta 90.00
_cell_angle_gamma 90.00
_space_group_name_H-M_alt 'P 4/m b m'
_space_group_IT_number 127
_space_group_name_Hall '-P 4 2ab'
loop_
_atom_site_label
_atom_site_type_symbol
_atom_site_fract_x
_atom_site_fract_y
_atom_site_fract_z
Sc1 Sc 0.1579 0.3421 0.0000
Au1 Au 0.1321 0.6321 0.5000
I1 I 0.0000 0.0000 0.0000
```

***

Material: CdFe2Pt
Method: DFT, PBE
State: optimized geometry

Values from the calculation:
DFT formation energy: 130 meV/atom

```
data_CdFe2Pt
_cell_length_a 2.7732
_cell_length_b 2.7732
_cell_length_c 27.2611
_cell_angle_alpha 90.00
_cell_angle_beta 90.00
_cell_angle_gamma 120.00
_space_group_name_H-M_alt 'R -3 m'
_space_group_IT_number 166
_space_group_name_Hall '-R 3 2"'
loop_
_atom_site_label
_atom_site_type_symbol
_atom_site_fract_x
_atom_site_fract_y
_atom_site_fract_z
Cd1 Cd 0.0000 0.0000 0.0000
Fe1 Fe 0.0000 0.0000 0.2458
Pt1 Pt 0.0000 0.0000 0.5000
```

***

Material: Pr2Nd6SmDy3
Method: DFT, PBE
State: optimized geometry

Values from the calculation:
DFT formation energy: 15 meV/atom

```
data_Pr2Nd6SmDy3
_cell_length_a 6.3287
_cell_length_b 10.9646
_cell_length_c 12.0557
_cell_angle_alpha 90.00
_cell_angle_beta 100.09
_cell_angle_gamma 90.00
_space_group_name_H-M_alt 'C 1 2/m 1'
_space_group_IT_number 12
_space_group_name_Hall '-C 2y'
loop_
_atom_site_label
_atom_site_type_symbol
_atom_site_fract_x
_atom_site_fract_y
_atom_site_fract_z
Pr1 Pr 0.0000 0.1666 0.0000
Nd1 Nd 0.2481 0.5000 0.7457
Nd2 Nd 0.2490 0.1664 0.7459
Sm1 Sm 0.0000 0.5000 0.0000
Dy1 Dy 0.0000 0.0000 0.5000
Dy2 Dy 0.0000 0.3334 0.5000
```

***

Material: Tl2CdTe2
Method: DFT, PBE
State: optimized geometry

Values from the calculation:
ΔE_f (raw): 0.00 eV/atom

```
data_Tl2CdTe2
_cell_length_a 8.8647
_cell_length_b 8.8647
_cell_length_c 4.0660
_cell_angle_alpha 90.00
_cell_angle_beta 90.00
_cell_angle_gamma 90.00
_space_group_name_H-M_alt 'P 4/m b m'
_space_group_IT_number 127
_space_group_name_Hall '-P 4 2ab'
loop_
_atom_site_label
_atom_site_type_symbol
_atom_site_fract_x
_atom_site_fract_y
_atom_site_fract_z
Tl1 Tl 0.1395 0.3605 0.0000
Cd1 Cd 0.0000 0.0000 0.0000
Te1 Te 0.1638 0.6638 0.5000
```

***

Material: AcIr
Method: DFT, PBE
State: optimized geometry

Values from the calculation:
DFT formation energy: -402 meV/atom

```
data_AcIr
_cell_length_a 6.0828
_cell_length_b 6.0828
_cell_length_c 6.0828
_cell_angle_alpha 90.00
_cell_angle_beta 90.00
_cell_angle_gamma 90.00
_space_group_name_H-M_alt 'F m -3 m'
_space_group_IT_number 225
_space_group_name_Hall '-F 4 2 3'
loop_
_atom_site_label
_atom_site_type_symbol
_atom_site_fract_x
_atom_site_fract_y
_atom_site_fract_z
Ac1 Ac 0.0000 0.0000 0.0000
Ir1 Ir 0.0000 0.0000 0.5000
```

***

Material: Ca5In3Cl12
Method: DFT, PBE
State: optimized geometry

Values from the calculation:
ΔE_f (raw): -1.79 eV/atom

```
data_Ca5In3Cl12
_cell_length_a 17.5450
_cell_length_b 17.5450
_cell_length_c 17.5450
_cell_angle_alpha 90.00
_cell_angle_beta 90.00
_cell_angle_gamma 90.00
_space_group_name_H-M_alt 'I a -3 d'
_space_group_IT_number 230
_space_group_name_Hall '-I 4bd 2c 3'
loop_
_atom_site_label
_atom_site_type_symbol
_atom_site_fract_x
_atom_site_fract_y
_atom_site_fract_z
Ca1 Ca 0.0000 0.0000 0.0000
Ca2 Ca 0.0000 0.2500 0.3750
In1 In 0.0000 0.2500 0.1250
Cl1 Cl 0.0312 0.0529 0.6453
```

***

Material: La2BeNi
Method: DFT, PBE
State: optimized geometry

Values from the calculation:
DFT formation energy: 104 meV/atom

```
data_La2BeNi
_cell_length_a 6.8436
_cell_length_b 6.8436
_cell_length_c 6.8436
_cell_angle_alpha 90.00
_cell_angle_beta 90.00
_cell_angle_gamma 90.00
_space_group_name_H-M_alt 'F -4 3 m'
_space_group_IT_number 216
_space_group_name_Hall 'F -4 2 3'
loop_
_atom_site_label
_atom_site_type_symbol
_atom_site_fract_x
_atom_site_fract_y
_atom_site_fract_z
La1 La 0.0000 0.0000 0.0000
La2 La 0.2500 0.2500 0.2500
Be1 Be 0.2500 0.2500 0.7500
Ni1 Ni 0.0000 0.0000 0.5000
```

***

Material: Zr2VNi2
Method: DFT, PBE
State: optimized geometry

Values from the calculation:
DFT formation energy: -184 meV/atom

```
data_Zr2VNi2
_cell_length_a 7.0344
_cell_length_b 7.0344
_cell_length_c 3.3625
_cell_angle_alpha 90.00
_cell_angle_beta 90.00
_cell_angle_gamma 90.00
_space_group_name_H-M_alt 'P 4/m b m'
_space_group_IT_number 127
_space_group_name_Hall '-P 4 2ab'
loop_
_atom_site_label
_atom_site_type_symbol
_atom_site_fract_x
_atom_site_fract_y
_atom_site_fract_z
Zr1 Zr 0.1761 0.3239 0.0000
V1 V 0.0000 0.0000 0.5000
Ni1 Ni 0.1232 0.6232 0.5000
```

***

Material: CoSiSb2Te
Method: DFT, PBE
State: optimized geometry

Values from the calculation:
ΔE_f (raw): 0.58 eV/atom

```
data_CoSiSb2Te
_cell_length_a 4.7835
_cell_length_b 4.7835
_cell_length_c 5.3993
_cell_angle_alpha 90.00
_cell_angle_beta 90.00
_cell_angle_gamma 90.00
_space_group_name_H-M_alt 'P 4/m m m'
_space_group_IT_number 123
_space_group_name_Hall '-P 4 2'
loop_
_atom_site_label
_atom_site_type_symbol
_atom_site_fract_x
_atom_site_fract_y
_atom_site_fract_z
Co1 Co 0.0000 0.0000 0.0000
Si1 Si 0.5000 0.5000 0.5000
Sb1 Sb 0.0000 0.5000 0.0000
Te1 Te 0.0000 0.0000 0.5000
```

***

Material: BaYIr2
Method: DFT, PBE
State: optimized geometry

Values from the calculation:
DFT formation energy: -15 meV/atom

```
data_BaYIr2
_cell_length_a 11.4318
_cell_length_b 3.1936
_cell_length_c 5.4342
_cell_angle_alpha 90.00
_cell_angle_beta 104.49
_cell_angle_gamma 90.00
_space_group_name_H-M_alt 'C 1 m 1'
_space_group_IT_number 8
_space_group_name_Hall 'C -2y'
loop_
_atom_site_label
_atom_site_type_symbol
_atom_site_fract_x
_atom_site_fract_y
_atom_site_fract_z
Ba1 Ba 0.0000 0.0000 0.0000
Y1 Y 0.3058 0.5000 0.3890
Ir1 Ir 0.0448 0.5000 0.5192
Ir2 Ir 0.2237 0.0000 0.7555
```

***

Material: CeZnTe2
Method: DFT, PBE
State: optimized geometry

Values from the calculation:
ΔE_f (raw): -0.63 eV/atom

```
data_CeZnTe2
_cell_length_a 4.5198
_cell_length_b 4.5198
_cell_length_c 26.6917
_cell_angle_alpha 90.00
_cell_angle_beta 90.00
_cell_angle_gamma 120.00
_space_group_name_H-M_alt 'R -3 m'
_space_group_IT_number 166
_space_group_name_Hall '-R 3 2"'
loop_
_atom_site_label
_atom_site_type_symbol
_atom_site_fract_x
_atom_site_fract_y
_atom_site_fract_z
Ce1 Ce 0.0000 0.0000 0.0000
Zn1 Zn 0.0000 0.0000 0.5000
Te1 Te 0.0000 0.0000 0.4003
```

***

Material: Y5Cu
Method: DFT, PBE
State: optimized geometry

Values from the calculation:
DFT formation energy: 517 meV/atom

```
data_Y5Cu
_cell_length_a 9.0680
_cell_length_b 9.0680
_cell_length_c 9.0680
_cell_angle_alpha 90.00
_cell_angle_beta 90.00
_cell_angle_gamma 90.00
_space_group_name_H-M_alt 'F -4 3 m'
_space_group_IT_number 216
_space_group_name_Hall 'F -4 2 3'
loop_
_atom_site_label
_atom_site_type_symbol
_atom_site_fract_x
_atom_site_fract_y
_atom_site_fract_z
Y1 Y 0.0000 0.0000 0.0000
Y2 Y 0.1255 0.1255 0.6255
Cu1 Cu 0.2500 0.2500 0.2500
```

***

Material: HfNb3Ge
Method: DFT, PBE
State: optimized geometry

Values from the calculation:
DFT formation energy: -71 meV/atom

```
data_HfNb3Ge
_cell_length_a 8.9190
_cell_length_b 4.5960
_cell_length_c 6.1495
_cell_angle_alpha 90.00
_cell_angle_beta 132.69
_cell_angle_gamma 90.00
_space_group_name_H-M_alt 'C 1 m 1'
_space_group_IT_number 8
_space_group_name_Hall 'C -2y'
loop_
_atom_site_label
_atom_site_type_symbol
_atom_site_fract_x
_atom_site_fract_y
_atom_site_fract_z
Hf1 Hf 0.0000 0.0000 0.0000
Nb1 Nb 0.0917 0.5000 0.7895
Nb2 Nb 0.3200 0.5000 0.3914
Nb3 Nb 0.4299 0.0000 0.2127
Ge1 Ge 0.2116 0.0000 0.6121
```

***

Material: Rb2PaPdO4
Method: DFT, PBE
State: optimized geometry

Values from the calculation:
ΔE_f (raw): -1.86 eV/atom

```
data_Rb2PaPdO4
_cell_length_a 6.5988
_cell_length_b 6.5988
_cell_length_c 7.5972
_cell_angle_alpha 90.00
_cell_angle_beta 90.00
_cell_angle_gamma 90.00
_space_group_name_H-M_alt 'I -4'
_space_group_IT_number 82
_space_group_name_Hall 'I -4'
loop_
_atom_site_label
_atom_site_type_symbol
_atom_site_fract_x
_atom_site_fract_y
_atom_site_fract_z
Rb1 Rb 0.0000 0.0000 0.0000
Rb2 Rb 0.0000 0.5000 0.2500
Pa1 Pa 0.0000 0.5000 0.7500
Pd1 Pd 0.0000 0.0000 0.5000
O1 O 0.1396 0.2985 0.5785
```

***

Material: Pm5YEr12
Method: DFT, PBE
State: optimized geometry

Values from the calculation:
DFT formation energy: 106 meV/atom

```
data_Pm5YEr12
_cell_length_a 11.2960
_cell_length_b 17.2400
_cell_length_c 5.9183
_cell_angle_alpha 90.00
_cell_angle_beta 90.15
_cell_angle_gamma 90.00
_space_group_name_H-M_alt 'C 1 2/m 1'
_space_group_IT_number 12
_space_group_name_Hall '-C 2y'
loop_
_atom_site_label
_atom_site_type_symbol
_atom_site_fract_x
_atom_site_fract_y
_atom_site_fract_z
Pm1 Pm 0.0000 0.0000 0.0000
Pm2 Pm 0.0000 0.1673 0.5000
Pm3 Pm 0.0000 0.3359 0.0000
Y1 Y 0.0000 0.5000 0.5000
Er1 Er 0.1758 0.1672 0.0503
Er2 Er 0.1773 0.0000 0.4470
Er3 Er 0.1772 0.3343 0.4493
Er4 Er 0.1791 0.5000 0.0534
```

***

Material: AlAsPd3
Method: DFT, PBE
State: optimized geometry

Values from the calculation:
DFT formation energy: -261 meV/atom

```
data_AlAsPd3
_cell_length_a 6.9556
_cell_length_b 12.5991
_cell_length_c 4.1028
_cell_angle_alpha 90.00
_cell_angle_beta 90.00
_cell_angle_gamma 90.00
_space_group_name_H-M_alt 'C m m m'
_space_group_IT_number 65
_space_group_name_Hall '-C 2 2'
loop_
_atom_site_label
_atom_site_type_symbol
_atom_site_fract_x
_atom_site_fract_y
_atom_site_fract_z
Al1 Al 0.0000 0.1083 0.0000
As1 As 0.0000 0.3975 0.5000
Pd1 Pd 0.0000 0.3005 0.0000
Pd2 Pd 0.1878 0.0000 0.5000
Pd3 Pd 0.2500 0.2500 0.5000
```

***

Material: LiAcSeO
Method: DFT, PBE
State: optimized geometry

Values from the calculation:
ΔE_f (raw): -2.42 eV/atom

```
data_LiAcSeO
_cell_length_a 4.2148
_cell_length_b 4.2148
_cell_length_c 9.2955
_cell_angle_alpha 90.00
_cell_angle_beta 90.00
_cell_angle_gamma 90.00
_space_group_name_H-M_alt 'P 4/n m m'
_space_group_IT_number 129
loop_
_space_group_symop_operation_xyz
'x,y,z'
'-x,-y,-z'
'-y+1/2,x,z'
'y+1/2,-x,-z'
'-x+1/2,-y+1/2,z'
'x+1/2,y+1/2,-z'
'y,-x+1/2,z'
'-y,x+1/2,-z'
'x+1/2,-y,-z'
'-x+1/2,y,z'
'-y,-x,-z'
'y,x,z'
'-x,y+1/2,-z'
'x,-y+1/2,z'
'y+1/2,x+1/2,-z'
'-y+1/2,-x+1/2,z'
loop_
_atom_site_label
_atom_site_type_symbol
_atom_site_fract_x
_atom_site_fract_y
_atom_site_fract_z
Li1 Li 0.2500 0.7500 0.0000
Ac1 Ac 0.2500 0.2500 0.3612
Se1 Se 0.2500 0.2500 0.8373
O1 O 0.2500 0.7500 0.5000
```

***

Material: Ac3IrSe2
Method: DFT, PBE
State: optimized geometry

Values from the calculation:
ΔE_f (raw): -1.49 eV/atom

```
data_Ac3IrSe2
_cell_length_a 9.1115
_cell_length_b 12.7305
_cell_length_c 26.4514
_cell_angle_alpha 90.00
_cell_angle_beta 90.00
_cell_angle_gamma 90.00
_space_group_name_H-M_alt 'F d d d'
_space_group_IT_number 70
loop_
_space_group_symop_operation_xyz
'x,y,z'
'-x,-y,-z'
'-x+1/4,-y+1/4,z'
'x+1/4,y+1/4,-z'
'x,-y+1/4,-z+1/4'
'-x,y+1/4,z+1/4'
'-x+1/4,y,-z+1/4'
'x+1/4,-y,z+1/4'
'x,y+1/2,z+1/2'
'-x,-y+1/2,-z+1/2'
'-x+1/4,-y+3/4,z+1/2'
'x+1/4,y+3/4,-z+1/2'
'x,-y+3/4,-z+3/4'
'-x,y+3/4,z+3/4'
'-x+1/4,y+1/2,-z+3/4'
'x+1/4,-y+1/2,z+3/4'
'x+1/2,y,z+1/2'
'-x+1/2,-y,-z+1/2'
'-x+3/4,-y+1/4,z+1/2'
'x+3/4,y+1/4,-z+1/2'
'x+1/2,-y+1/4,-z+3/4'
'-x+1/2,y+1/4,z+3/4'
'-x+3/4,y,-z+3/4'
'x+3/4,-y,z+3/4'
'x+1/2,y+1/2,z'
'-x+1/2,-y+1/2,-z'
'-x+3/4,-y+3/4,z'
'x+3/4,y+3/4,-z'
'x+1/2,-y+3/4,-z+1/4'
'-x+1/2,y+3/4,z+1/4'
'-x+3/4,y+1/2,-z+1/4'
'x+3/4,-y+1/2,z+1/4'
loop_
_atom_site_label
_atom_site_type_symbol
_atom_site_fract_x
_atom_site_fract_y
_atom_site_fract_z
Ac1 Ac 0.1007 0.3750 0.3750
Ac2 Ac 0.1135 0.3641 0.2133
Ir1 Ir 0.1250 0.1250 0.0412
Se1 Se 0.1250 0.1250 0.3777
Se2 Se 0.1250 0.1250 0.5452
```

***

Material: La3Tc
Method: DFT, PBE
State: optimized geometry

Values from the calculation:
DFT formation energy: 33 meV/atom

```
data_La3Tc
_cell_length_a 9.7118
_cell_length_b 13.0998
_cell_length_c 4.0633
_cell_angle_alpha 90.00
_cell_angle_beta 90.00
_cell_angle_gamma 90.00
_space_group_name_H-M_alt 'C m c m'
_space_group_IT_number 63
_space_group_name_Hall '-C 2c 2'
loop_
_atom_site_label
_atom_site_type_symbol
_atom_site_fract_x
_atom_site_fract_y
_atom_site_fract_z
La1 La 0.0000 0.1174 0.2500
La2 La 0.1793 0.3642 0.2500
Tc1 Tc 0.0000 0.2569 0.7500
```

***

Material: KCr3
Method: DFT, PBE
State: optimized geometry

Values from the calculation:
DFT formation energy: 2721 meV/atom

```
data_KCr3
_cell_length_a 6.6190
_cell_length_b 6.6190
_cell_length_c 6.6190
_cell_angle_alpha 90.00
_cell_angle_beta 90.00
_cell_angle_gamma 90.00
_space_group_name_H-M_alt 'P m -3 m'
_space_group_IT_number 221
_space_group_name_Hall '-P 4 2 3'
loop_
_atom_site_label
_atom_site_type_symbol
_atom_site_fract_x
_atom_site_fract_y
_atom_site_fract_z
K1 K 0.0000 0.0000 0.0000
Cr1 Cr 0.0000 0.0000 0.5000
```

***

Spin magnetization
In order: 0.0, 5.9, 0.0, 0.0, 0.0, 0.0, 0.0, 2.7, 0.0, 0.0, 1.0, 0.0, 0.0, 1.0, 0.0, 0.0, 0.0, 0.0, 0.0, 17.1
Unit: μB per formula unit